1.
{"formula": "RbYSn", "functional": "PBE-GGA", "state": "relaxed", "cell": [[9.556, 0.000, 0.000], [0.000, 5.368, 0.000], [0.000, 0.000, 8.727]], "species": ["Sn", "Sn", "Rb", "Sn", "Y", "Rb", "Y", "Y", "Y", "Sn", "Rb", "Rb"], "fractional_positions": [[0.183, 0.250, 0.382], [0.683, 0.250, 0.118], [0.503, 0.750, 0.354], [0.817, 0.750, 0.618], [0.639, 0.750, 0.926], [0.003, 0.750, 0.146], [0.361, 0.250, 0.074], [0.139, 0.750, 0.574], [0.861, 0.250, 0.426], [0.317, 0.750, 0.882], [0.997, 0.250, 0.854], [0.497, 0.250, 0.646]], "dos_at_fermi_per_ev_atom": 0.00}

***

2.
{"formula": "RbYSn", "functional": "PBE-GGA", "state": "relaxed", "cell": [[5.969, -0.026, 0.008], [-1.203, 5.846, -0.004], [0.587, -2.898, 7.145]], "species": ["Y", "Y", "Sn", "Rb", "Rb", "Sn"], "fractional_positions": [[0.031, 0.983, 0.345], [0.465, 0.552, 0.344], [0.541, 0.116, 0.453], [0.493, 0.789, 0.869], [0.994, 0.270, 0.873], [0.954, 0.528, 0.456]], "dos_at_fermi_per_ev_atom": 0.88}

***

3.
{"formula": "RbYSn", "functional": "PBE-GGA", "state": "relaxed", "cell": [[9.827, -0.025, 0.022], [0.026, 3.761, 0.010], [4.935, -0.065, 7.081]], "species": ["Y", "Rb", "Y", "Sn", "Sn", "Rb"], "fractional_positions": [[0.763, 0.154, 0.526], [0.302, 0.151, 0.072], [0.702, 0.156, 0.129], [0.936, 0.652, 0.170], [0.711, 0.654, 0.839], [0.150, 0.135, 0.681]], "dos_at_fermi_per_ev_atom": 0.98}

***

4.
{"formula": "RbYSn", "functional": "PBE-GGA", "state": "relaxed", "cell": [[-2.987, -2.922, 3.697], [4.556, -0.677, 3.146], [-1.766, 6.888, 4.043]], "species": ["Sn", "Sn", "Rb", "Y", "Y", "Rb"], "fractional_positions": [[0.844, 0.369, 0.409], [0.345, 0.869, 0.063], [0.343, 0.369, 0.736], [0.844, 0.869, 0.236], [0.344, 0.369, 0.236], [0.845, 0.869, 0.736]], "dos_at_fermi_per_ev_atom": 0.00}

***

| no. | magnetic moment (μB per formula unit) | energy of formation (kcal/mol of atoms) | distance to the lowest polymorph of the same formula (eV per atom) |
| --- | --- | --- | --- |
| 1 | 0.0 | -6.86 | 0.094 |
| 2 | 0.5 | -3.48 | 0.240 |
| 3 | 0.0 | -3.63 | 0.234 |
| 4 | 0.0 | -7.28 | 0.075 |